(1)
The following is a DFT calculation (GGA-PBE) of La2TcNi after structural relaxation. Values from VASP.

The structure in Quantum ESPRESSO input format:
```
&SYSTEM
  ibrav = 0, nat = 4, ntyp = 3
/
ATOMIC_SPECIES
La 138.91 La.upf
Tc 98.00 Tc.upf
Ni 58.69 Ni.upf
CELL_PARAMETERS angstrom
3.5792 0.0000 0.0000
0.0000 3.6058 0.0000
-0.0036 0.0000 6.9768
ATOMIC_POSITIONS angstrom
La 0.0073 0.0000 1.7449
La 3.5682 0.0000 5.2318
Tc 1.7896 1.8029 0.0000
Ni 1.7878 1.8029 3.4884
```

Properties
**Energy of formation from the pure elements**: 0.035 eV per atom
**Electronic total energy**: -6.466 eV per atom
**Crystal system**: monoclinic


(2)
The following is a DFT calculation (GGA-PBE) of RbTiFe2 after structural relaxation. Values from VASP.

The structure in Quantum ESPRESSO input format:
```
&SYSTEM
  ibrav = 0, nat = 8, ntyp = 3
/
ATOMIC_SPECIES
Rb 85.47 Rb.upf
Ti 47.87 Ti.upf
Fe 55.84 Fe.upf
CELL_PARAMETERS angstrom
-2.3923 2.3923 8.0570
2.3923 -2.3923 8.0570
2.3923 2.3923 -8.0570
ATOMIC_POSITIONS angstrom
Rb 2.3923 1.1962 2.0143
Rb 0.0000 1.1962 6.0428
Ti 2.3923 -1.1962 6.0428
Ti 0.0000 3.5885 2.0143
Fe 0.0000 0.0000 0.0000
Fe 1.1962 1.1962 -4.0285
Fe 1.1962 -1.1962 4.0285
Fe 0.0000 2.3923 0.0000
```

Properties
**Energy above the lowest structure with this stoichiometry**: 0.0630 eV per atom
**Energy of formation from the pure elements**: 1.416 eV per atom
**Electronic total energy**: -5.031 eV per atom
**Crystal system**: tetragonal


(3)
The following is a DFT calculation (GGA-PBE) of ZrGaNi2H after structural relaxation. Values from VASP.

The structure in Quantum ESPRESSO input format:
```
&SYSTEM
  ibrav = 0, nat = 10, ntyp = 4
/
ATOMIC_SPECIES
Zr 91.22 Zr.upf
Ga 69.72 Ga.upf
Ni 58.69 Ni.upf
H 1.01 H.upf
CELL_PARAMETERS angstrom
1.5856 -5.5230 0.0000
1.5856 5.5230 0.0000
0.0000 0.0000 7.0170
ATOMIC_POSITIONS angstrom
Zr 1.5856 5.2396 5.2627
Zr 1.5856 -5.2396 1.7542
Ga 1.5856 2.7458 1.7542
Ga 1.5856 -2.7458 5.2627
Ni 1.5856 1.6175 3.8869
Ni 1.5856 1.6175 6.6386
Ni 1.5856 -1.6175 0.3784
Ni 1.5856 -1.6175 3.1301
H 1.5856 0.0000 0.0000
H 1.5856 0.0000 3.5085
```

Properties
**Energy above the lowest structure with this stoichiometry**: 0.0000 eV per atom
**Electronic total energy**: -5.724 eV per atom
**Crystal system**: orthorhombic


(4)
The following is a DFT calculation (GGA-PBE) of BeSi2Hg after structural relaxation. Values from VASP.

The structure in Quantum ESPRESSO input format:
```
&SYSTEM
  ibrav = 0, nat = 4, ntyp = 3
/
ATOMIC_SPECIES
Be 9.01 Be.upf
Si 28.09 Si.upf
Hg 200.59 Hg.upf
CELL_PARAMETERS angstrom
2.6221 0.0000 0.0000
0.0000 3.3307 0.0000
0.0000 0.0000 8.2591
ATOMIC_POSITIONS angstrom
Be 0.0000 0.0000 0.0000
Si 1.3111 1.6654 1.2819
Si 1.3111 1.6654 6.9772
Hg 0.0000 0.0000 4.1295
```

Properties
**Energy above the lowest structure with this stoichiometry**: 0.0261 eV per atom
**Formation energy from raw total energies**: 0.461 eV per atom
**Electronic total energy**: -3.258 eV per atom
**Crystal system**: orthorhombic


(5)
The following is a DFT calculation (GGA-PBE) of ZrNpH after structural relaxation. Values from VASP.

The structure in Quantum ESPRESSO input format:
```
&SYSTEM
  ibrav = 0, nat = 6, ntyp = 3
/
ATOMIC_SPECIES
Zr 91.22 Zr.upf
Np 237.00 Np.upf
H 1.01 H.upf
CELL_PARAMETERS angstrom
2.7169 -2.0357 0.0000
2.7169 2.0357 0.0000
-0.0939 0.0000 8.2618
ATOMIC_POSITIONS angstrom
Zr 1.2118 0.0000 2.9740
Zr 4.1281 0.0000 5.2878
Np 1.5926 0.0000 7.6618
Np 3.7473 0.0000 0.6000
H 0.8373 0.0000 5.1554
H 4.5026 0.0000 3.1064
```

Properties
**Electronic total energy**: -8.462 eV per atom
**Crystal system**: monoclinic


(6)
The following is a DFT calculation (GGA-PBE) of TcPb2Se after structural relaxation. Values from VASP.

The structure in Quantum ESPRESSO input format:
```
&SYSTEM
  ibrav = 0, nat = 4, ntyp = 3
/
ATOMIC_SPECIES
Tc 98.00 Tc.upf
Pb 207.20 Pb.upf
Se 78.96 Se.upf
CELL_PARAMETERS angstrom
1.8434 1.0643 7.9648
-1.8434 1.0643 7.9648
0.0000 -2.1286 7.9648
ATOMIC_POSITIONS angstrom
Tc 0.0000 0.0000 0.0000
Pb 0.0000 0.0000 6.0739
Pb 0.0000 0.0000 17.8204
Se 0.0000 0.0000 11.9472
```

Properties
**Energy above the lowest structure with this stoichiometry**: 0.4771 eV per atom
**Formation energy from raw total energies**: 0.487 eV per atom
**Electronic total energy**: -4.830 eV per atom
**Crystal system**: trigonal